The following is a GGA-PBE calculation of a relaxed CsPuGaO4 crystal, from Alexandria via LeMat-Bulk.

Results
Space-group type ... P2_1/m
Raw formation energy ... -2178 meV/atom
DOS(E_F) ... 11.57 states/eV/cell
Energy ... -7.61 eV per atom

```
data_CsPuGaO4
_symmetry_space_group_name_H-M 'P 1'
_symmetry_Int_Tables_number 1
_symmetry_space_group_name_Hall 'P 1'
_cell_length_a 5.7878
_cell_length_b 5.8584
_cell_length_c 9.8660
_cell_angle_alpha 90.00
_cell_angle_beta 125.26
_cell_angle_gamma 90.00
loop_
_atom_site_label
_atom_site_type_symbol
_atom_site_fract_x
_atom_site_fract_y
_atom_site_fract_z
Cs1 Cs 0.6407 0.7500 0.8903
Cs2 Cs 0.3593 0.2500 0.1097
Pu1 Pu 0.7649 0.7500 0.4639
Pu2 Pu 0.2351 0.2500 0.5361
Ga1 Ga 0.1590 0.7500 0.3425
Ga2 Ga 0.8410 0.2500 0.6575
O1 O 0.0627 0.4848 0.6577
O2 O 0.9373 0.9848 0.3423
O3 O 0.9373 0.5152 0.3423
O4 O 0.0627 0.0152 0.6577
O5 O 0.3208 0.7500 0.2280
O6 O 0.6792 0.2500 0.7720
O7 O 0.5086 0.7500 0.5562
O8 O 0.4914 0.2500 0.4438
```

---

The following is a GGA-PBE calculation of a relaxed La2CuRu crystal, from Alexandria via LeMat-Bulk.

Results
Space-group type ... P4mm
Energy relative to the elements ... 0.029 eV/atom
DOS(E_F) ... 4.08 states/eV/cell
Energy ... -5.78 eV per atom

```
data_La2CuRu
_symmetry_space_group_name_H-M 'P 1'
_symmetry_Int_Tables_number 1
_symmetry_space_group_name_Hall 'P 1'
_cell_length_a 3.5829
_cell_length_b 3.5829
_cell_length_c 7.8387
_cell_angle_alpha 90.00
_cell_angle_beta 90.00
_cell_angle_gamma 90.00
loop_
_atom_site_label
_atom_site_type_symbol
_atom_site_fract_x
_atom_site_fract_y
_atom_site_fract_z
Cu1 Cu 0.5000 0.5000 0.6946
La1 La 0.0000 0.0000 0.9019
La2 La 0.5000 0.5000 0.3307
Ru1 Ru 0.0000 0.0000 0.5728
```

---

The following is a GGA-PBE calculation of a relaxed AlSi2Ru crystal, from Alexandria via LeMat-Bulk.

Results
Space-group type ... P4mm
Raw formation energy ... -127 meV/atom
DOS(E_F) ... 1.86 states/eV/cell
Energy ... -6.09 eV per atom

```
data_AlSi2Ru
_symmetry_space_group_name_H-M 'P 1'
_symmetry_Int_Tables_number 1
_symmetry_space_group_name_Hall 'P 1'
_cell_length_a 2.8963
_cell_length_b 2.8963
_cell_length_c 6.9023
_cell_angle_alpha 90.00
_cell_angle_beta 90.00
_cell_angle_gamma 90.00
loop_
_atom_site_label
_atom_site_type_symbol
_atom_site_fract_x
_atom_site_fract_y
_atom_site_fract_z
Ru1 Ru 0.5000 0.5000 0.7720
Si1 Si 0.0000 0.0000 0.9665
Si2 Si 0.5000 0.5000 0.2322
Al1 Al 0.0000 0.0000 0.5293
```

---

The following is a GGA-PBE calculation of a relaxed SrMnGe crystal, from Alexandria via LeMat-Bulk.

Results
Space-group type ... I4/mmm
Energy relative to the elements ... -0.230 eV/atom
DOS(E_F) ... 5.03 states/eV/cell
Energy ... -5.39 eV per atom

```
data_SrMnGe
_symmetry_space_group_name_H-M 'P 1'
_symmetry_Int_Tables_number 1
_symmetry_space_group_name_Hall 'P 1'
_cell_length_a 4.0657
_cell_length_b 4.0657
_cell_length_c 9.2049
_cell_angle_alpha 102.76
_cell_angle_beta 102.76
_cell_angle_gamma 90.00
loop_
_atom_site_label
_atom_site_type_symbol
_atom_site_fract_x
_atom_site_fract_y
_atom_site_fract_z
Ge1 Ge 0.0875 0.0875 0.1750
Ge2 Ge 0.9125 0.9125 0.8250
Sr1 Sr 0.3417 0.3417 0.6835
Sr2 Sr 0.6583 0.6583 0.3165
Mn1 Mn 0.5000 0.0000 0.0000
Mn2 Mn 0.0000 0.5000 0.0000
```

---

The following is a GGA-PBE calculation of a relaxed CeErPa2N4 crystal, from Alexandria via LeMat-Bulk.

Results
Space-group type ... P2/m
Raw formation energy ... -1637 meV/atom
DOS(E_F) ... 6.22 states/eV/cell
Energy ... -9.49 eV per atom

```
data_CeErPa2N4
_symmetry_space_group_name_H-M 'P 1'
_symmetry_Int_Tables_number 1
_symmetry_space_group_name_Hall 'P 1'
_cell_length_a 3.4998
_cell_length_b 6.0985
_cell_length_c 6.0369
_cell_angle_alpha 109.39
_cell_angle_beta 90.00
_cell_angle_gamma 90.00
loop_
_atom_site_label
_atom_site_type_symbol
_atom_site_fract_x
_atom_site_fract_y
_atom_site_fract_z
Ce1 Ce 0.0000 0.0000 0.0000
Er1 Er 0.5000 0.5000 0.0000
Pa1 Pa 0.5000 0.0000 0.5000
Pa2 Pa 0.0000 0.5000 0.5000
N1 N 0.5000 0.2660 0.2655
N2 N 0.5000 0.7340 0.7345
N3 N 0.0000 0.2559 0.7398
N4 N 0.0000 0.7441 0.2602
```

---

The following is a GGA-PBE calculation of a relaxed Co4Ni6Pt crystal, from Alexandria via LeMat-Bulk.

Results
Space-group type ... P-6m2
Energy relative to the elements ... 0.124 eV/atom
DOS(E_F) ... 12.14 states/eV/cell
Energy ... -6.16 eV per atom

```
data_Co4Ni6Pt
_symmetry_space_group_name_H-M 'P 1'
_symmetry_Int_Tables_number 1
_symmetry_space_group_name_Hall 'P 1'
_cell_length_a 2.5270
_cell_length_b 7.7525
_cell_length_c 7.7517
_cell_angle_alpha 120.00
_cell_angle_beta 90.00
_cell_angle_gamma 90.00
loop_
_atom_site_label
_atom_site_type_symbol
_atom_site_fract_x
_atom_site_fract_y
_atom_site_fract_z
Co1 Co 0.0000 0.6666 0.3333
Co2 Co 0.5000 0.1806 0.3611
Co3 Co 0.5000 0.1805 0.8195
Co4 Co 0.5000 0.6390 0.8195
Ni1 Ni 0.5000 0.8211 0.6422
Ni2 Ni 0.5000 0.8211 0.1789
Ni3 Ni 0.5000 0.3578 0.1789
Ni4 Ni 0.0000 0.4880 0.9759
Ni5 Ni 0.0000 0.4880 0.5120
Ni6 Ni 0.0000 0.0240 0.5120
Pt1 Pt 0.0000 0.0000 0.0000
```

---

The following is a GGA-PBE calculation of a relaxed Pr2Nd3Th2 crystal, from Alexandria via LeMat-Bulk.

Results
Space-group type ... P2/m
Energy relative to the elements ... 0.204 eV/atom
DOS(E_F) ... 10.84 states/eV/cell
Energy ... -5.32 eV per atom

```
data_Pr2Nd3Th2
_symmetry_space_group_name_H-M 'P 1'
_symmetry_Int_Tables_number 1
_symmetry_space_group_name_Hall 'P 1'
_cell_length_a 3.4877
_cell_length_b 5.7045
_cell_length_c 12.5861
_cell_angle_alpha 103.11
_cell_angle_beta 90.00
_cell_angle_gamma 90.00
loop_
_atom_site_label
_atom_site_type_symbol
_atom_site_fract_x
_atom_site_fract_y
_atom_site_fract_z
Pr1 Pr 0.5000 0.5748 0.1508
Pr2 Pr 0.5000 0.4252 0.8492
Nd1 Nd 0.0000 0.2881 0.5765
Nd2 Nd 0.0000 0.0000 0.0000
Nd3 Nd 0.0000 0.7119 0.4235
Th1 Th 0.0000 0.8588 0.7167
Th2 Th 0.0000 0.1412 0.2833
```

---

The following is a GGA-PBE calculation of a relaxed YTmNp2As4 crystal, from Alexandria via LeMat-Bulk.

Results
Space-group type ... P2/m
Energy relative to the elements ... -1.101 eV/atom
DOS(E_F) ... 18.76 states/eV/cell
Energy ... -8.03 eV per atom

```
data_YTmNp2As4
_symmetry_space_group_name_H-M 'P 1'
_symmetry_Int_Tables_number 1
_symmetry_space_group_name_Hall 'P 1'
_cell_length_a 4.0925
_cell_length_b 7.0919
_cell_length_c 7.1119
_cell_angle_alpha 109.41
_cell_angle_beta 90.00
_cell_angle_gamma 90.00
loop_
_atom_site_label
_atom_site_type_symbol
_atom_site_fract_x
_atom_site_fract_y
_atom_site_fract_z
Y1 Y 0.0000 0.0000 0.0000
Tm1 Tm 0.5000 0.5000 0.0000
Np1 Np 0.5000 0.0000 0.5000
Np2 Np 0.0000 0.5000 0.5000
As1 As 0.5000 0.2526 0.2517
As2 As 0.5000 0.7474 0.7483
As3 As 0.0000 0.2520 0.7500
As4 As 0.0000 0.7480 0.2500
```

---

Let's list ρ in order: 6.208; 7.301; 5.284; 4.944; 11.278; 9.887; 8.025; 8.798 g/cm3.